## Th8Ge3Te4Mo (GGA-PBE)

Data for an optimized crystal structure of Th8Ge3Te4Mo.

```
data_Th8Ge3Te4Mo
_chemical_formula_sum 'Th8 Ge3 Te4 Mo1'
_cell_length_a 8.705
_cell_length_b 8.941
_cell_length_c 8.705
_cell_angle_alpha 119.14
_cell_angle_beta 120.00
_cell_angle_gamma 90.00
_symmetry_space_group_name_H-M 'P 1'
_symmetry_Int_Tables_number 1
loop_
_symmetry_equiv_pos_as_xyz
'x,y,z'
loop_
_atom_site_label
_atom_site_type_symbol
_atom_site_fract_x
_atom_site_fract_y
_atom_site_fract_z
_atom_site_occupancy
Th1 Th 0.230 0.711 0.981 1
Th2 Th 0.230 0.711 0.460 1
Th3 Th 0.260 0.281 0.521 1
Th4 Th 0.751 0.711 0.981 1
Th5 Th 0.249 0.289 0.019 1
Th6 Th 0.740 0.719 0.479 1
Th7 Th 0.770 0.289 0.540 1
Th8 Th 0.770 0.289 0.019 1
Ge1 Ge 0.500 0.500 0.000 1
Ge2 Ge 0.500 0.500 0.500 1
Ge3 Ge 0.000 0.500 0.500 1
Te1 Te 0.500 0.000 0.000 1
Te2 Te 0.500 0.000 0.500 1
Te3 Te 0.000 0.000 0.000 1
Te4 Te 0.000 0.000 0.500 1
Mo1 Mo 0.000 0.500 0.000 1
```

- Formation energy (no corrections): -0.824 eV per atom
- Total magnetization: 0.000 μB per formula unit
- DOS(E_F): 13.51 states/eV per cell